This record from Alexandria via LeMat-Bulk describes a relaxed CaCeY2 crystal. The functional is GGA-PBE.

Output
density of states at the Fermi level = 2.10 states/eV per atom
E above lowest polymorph = 9 meV per atom
formation enthalpy at 0 K = 0.097 eV/atom
raw total energy = -20.475 eV for the cell shown

Unit cell a=3.5972 b=3.5972 c=12.0874 alpha=81.44 beta=81.44 gamma=60.00
Last column: nearest neighbours and their distance in Å.
Fractional positions:
Y1 0.7445 0.7445 0.7664  3 Ce 3.47, 6 Y 3.60, 3 Ca 3.79
Y2 0.2555 0.2555 0.2336  3 Ce 3.47, 6 Y 3.60, 3 Ca 3.79
Ca1 0.5000 0.5000 0.5000  6 Ca 3.60, 6 Y 3.79
Ce1 0.0000 0.0000 0.0000  6 Y 3.47, 6 Ce 3.60

---

This record from Alexandria via LeMat-Bulk describes a relaxed CaCeY2 crystal. The functional is GGA-PBE.

Output
density of states at the Fermi level = 1.97 states/eV per atom
E above lowest polymorph = 0 meV per atom
formation enthalpy at 0 K = 0.088 eV/atom
raw total energy = -20.511 eV for the cell shown

Unit cell a=3.5937 b=3.5937 c=12.0358 alpha=81.41 beta=81.41 gamma=60.00
Last column: nearest neighbours and their distance in Å.
Fractional positions:
Ca1 0.5006 0.5006 0.4983  6 Ca 3.59, 6 Y 3.76-3.80
Ce1 0.6663 0.6663 0.0011  6 Y 3.45-3.47, 6 Ce 3.59
Y1 0.0778 0.0778 0.7665  3 Ce 3.47, 6 Y 3.59, 3 Ca 3.80
Y2 0.2553 0.2553 0.2340  3 Ce 3.45, 6 Y 3.59, 3 Ca 3.76

---

This record from Alexandria via LeMat-Bulk describes a relaxed CaCeY2 crystal. The functional is GGA-PBE.

Output
density of states at the Fermi level = 1.84 states/eV per atom
E above lowest polymorph = 7 meV per atom
formation enthalpy at 0 K = 0.095 eV/atom
raw total energy = -20.482 eV for the cell shown

Unit cell a=3.6215 b=3.6215 c=10.1957 alpha=90.00 beta=90.00 gamma=90.00
Last column: nearest neighbours and their distance in Å.
Fractional positions:
Y1 0.0000 0.0000 0.7757  4 Ce 3.43, 4 Y 3.62, 4 Ca 3.80
Y2 0.0000 0.0000 0.2243  4 Ce 3.43, 4 Y 3.62, 4 Ca 3.80
Ca1 0.5000 0.5000 0.5000  4 Ca 3.62, 8 Y 3.80
Ce1 0.5000 0.5000 0.0000  8 Y 3.43, 4 Ce 3.62

---

This record from Alexandria via LeMat-Bulk describes a relaxed CaCe2Zn3 crystal. The functional is GGA-PBE.

Output
density of states at the Fermi level = 2.07 states/eV per atom
formation enthalpy at 0 K = -0.199 eV/atom
raw total energy = -18.885 eV for the cell shown

Unit cell a=3.6298 b=3.6298 c=11.0036 alpha=90.00 beta=90.00 gamma=90.00
Last column: nearest neighbours and their distance in Å.
Fractional positions:
Ca1 0.5000 0.5000 0.5000  8 Zn 3.20
Ce1 0.5000 0.5000 0.8363  8 Zn 3.13-3.14
Ce2 0.5000 0.5000 0.1637  8 Zn 3.13-3.14
Zn1 0.0000 0.0000 0.0000  8 Ce 3.14
Zn2 0.0000 0.0000 0.6736  4 Ce 3.13, 4 Ca 3.20
Zn3 0.0000 0.0000 0.3264  4 Ce 3.13, 4 Ca 3.20